[1]
Hf2PaSb3: relaxed, PBE.

Geometry as extended XYZ:
```
12
Lattice="4.097 0.000 0.000 0.000 6.977 0.000 0.000 0.000 10.952" Properties=species:S:1:pos:R:3 pbc="T T T"
Sb 2.049 5.064 3.151
Sb 0.000 5.456 6.707
Sb 0.000 1.968 4.245
Sb 2.049 1.576 7.801
Sb 2.049 4.794 10.321
Sb 2.049 1.306 0.631
Pa 0.000 3.540 1.351
Pa 0.000 0.051 9.601
Hf 0.000 6.909 2.236
Hf 2.049 0.059 5.282
Hf 0.000 3.421 8.717
Hf 2.049 3.547 5.670
```

Properties
Volume ... 313.0 Å³/cell
Calculated total energy ... -7.373 eV per atom

***

[2]
HfPaSb3: relaxed, PBE.

Geometry as extended XYZ:
```
20
Lattice="4.367 0.000 0.000 0.000 7.812 0.000 0.000 0.000 15.392" Properties=species:S:1:pos:R:3 pbc="T T T"
Hf 3.275 2.402 7.023
Hf 1.092 5.410 8.369
Hf 1.092 1.504 14.719
Hf 3.275 6.308 0.673
Sb 1.092 0.184 1.825
Sb 3.275 5.495 3.517
Sb 3.275 1.589 4.179
Sb 1.092 0.966 8.283
Sb 1.092 2.317 11.875
Sb 3.275 6.846 7.109
Sb 3.275 2.940 0.587
Sb 1.092 4.872 14.805
Sb 1.092 4.090 5.871
Sb 3.275 7.628 13.567
Sb 1.092 6.223 11.213
Sb 3.275 3.722 9.522
Pa 3.275 4.448 12.596
Pa 1.092 3.364 2.796
Pa 3.275 0.542 10.492
Pa 1.092 7.270 4.900
```

Properties
Volume ... 525.1 Å³/cell
Calculated total energy ... -6.768 eV per atom

***

[3]
HfPa2Sb: relaxed, PBE.

Geometry as extended XYZ:
```
4
Lattice="-1.894 0.259 3.551 -3.316 -1.594 -1.652 2.020 -5.753 1.497" Properties=species:S:1:pos:R:3 pbc="T T T"
Hf -1.595 -3.544 1.698
Pa 1.579 -4.496 1.170
Pa 0.441 -1.257 0.327
Sb -2.605 -0.668 0.950
```

Properties
Volume ... 102.1 Å³/cell
Relative energy among the computed polymorphs ... 160 meV per atom

***

[4]
Hf2PaSb: relaxed, PBE.

Geometry as extended XYZ:
```
4
Lattice="-2.794 1.453 0.845 -2.624 -0.273 -1.916 -4.637 -8.004 4.717" Properties=species:S:1:pos:R:3 pbc="T T T"
Hf -3.962 -6.001 3.507
Hf -2.482 -1.612 0.855
Sb -8.248 -7.213 4.001
Pa -5.029 -3.415 1.825
```

Properties
Volume ... 94.0 Å³/cell
Relative energy among the computed polymorphs ... 182 meV per atom

***

[5]
HfPa2Sb: relaxed, PBE.

Geometry as extended XYZ:
```
4
Lattice="4.843 0.000 0.000 0.000 4.412 0.000 0.000 0.000 4.412" Properties=species:S:1:pos:R:3 pbc="T T T"
Sb 2.422 0.000 0.000
Pa 0.000 2.206 0.000
Pa 0.000 0.000 2.206
Hf 2.422 2.206 2.206
```

Properties
Volume ... 94.3 Å³/cell
Relative energy among the computed polymorphs ... 0 meV per atom

***

[6]
HfPaSb: relaxed, PBE.

Geometry as extended XYZ:
```
3
Lattice="3.656 0.000 0.000 0.000 3.656 0.000 -1.828 -1.828 5.546" Properties=species:S:1:pos:R:3 pbc="T T T"
Hf 1.828 1.828 1.506
Sb 0.000 0.000 2.928
Pa 1.828 1.828 4.994
```

Properties
Volume ... 74.1 Å³/cell
Relative energy among the computed polymorphs ... 0 meV per atom

***

[7]
Hf2PaSb: relaxed, PBE.

Geometry as extended XYZ:
```
4
Lattice="3.720 0.000 0.000 0.000 3.720 0.000 0.000 0.000 6.648" Properties=species:S:1:pos:R:3 pbc="T T T"
Hf 0.000 0.000 5.033
Hf 0.000 0.000 1.614
Sb 1.860 1.860 0.000
Pa 1.860 1.860 3.324
```

Properties
Volume ... 92.0 Å³/cell
Relative energy among the computed polymorphs ... 49 meV per atom

***

[8]
HfPa2Sb: relaxed, PBE.

Geometry as extended XYZ:
```
4
Lattice="5.218 0.000 0.000 2.609 4.519 0.000 2.609 1.506 4.262" Properties=species:S:1:pos:R:3 pbc="T T T"
Pa 7.827 4.519 3.196
Pa 2.609 1.506 1.066
Sb 0.000 0.000 0.000
Hf 5.218 3.013 2.131
```

Properties
Volume ... 100.5 Å³/cell
Relative energy among the computed polymorphs ... 396 meV per atom

***

[9]
HfPaSb: relaxed, PBE.

Geometry as extended XYZ:
```
3
Lattice="-1.731 2.822 -0.266 -2.967 -2.149 -3.500 -1.242 -0.300 4.903" Properties=species:S:1:pos:R:3 pbc="T T T"
Hf -2.683 0.496 1.969
Sb -3.256 -0.123 -0.832
Pa -0.001 0.001 0.000
```

Properties
Volume ... 73.9 Å³/cell
Relative energy among the computed polymorphs ... 111 meV per atom

***

[10]
Hf2ScPa: relaxed, PBE.

Geometry as extended XYZ:
```
4
Lattice="-1.175 0.528 -2.922 -1.885 -1.188 2.289 -2.778 10.060 2.935" Properties=species:S:1:pos:R:3 pbc="T T T"
Hf -3.519 7.585 1.040
Hf -2.345 1.908 1.288
Pa -0.024 0.088 0.026
Sc -3.112 4.686 2.098
```

Properties
Volume ... 95.8 Å³/cell
Relative energy among the computed polymorphs ... 112 meV per atom
ΔE_f ... 164 meV/atom

***

[11]
Hf2Sc2Pa: relaxed, PBE.

Geometry as extended XYZ:
```
5
Lattice="3.187 0.000 0.394 1.569 2.774 0.394 -0.031 -0.018 13.323" Properties=species:S:1:pos:R:3 pbc="T T T"
Hf 3.798 2.215 8.531
Hf 0.927 0.541 5.581
Sc 1.884 1.099 10.926
Sc 2.841 1.657 3.186
Pa 0.000 0.000 0.000
```

Properties
Volume ... 117.8 Å³/cell
ΔE_f ... 77 meV/atom

***

[12]
HfScPa: relaxed, PBE.

Geometry as extended XYZ:
```
6
Lattice="3.168 0.000 0.422 1.623 2.748 -0.084 -0.591 -2.833 16.535" Properties=species:S:1:pos:R:3 pbc="T T T"
Pa 1.411 1.083 1.512
Pa 2.790 -1.168 15.361
Hf 1.951 1.007 9.555
Hf 2.249 -1.092 7.318
Sc 1.025 -0.465 4.406
Sc 3.175 0.380 12.467
```

Properties
Volume ... 141.9 Å³/cell
Relative energy among the computed polymorphs ... 0 meV per atom
ΔE_f ... 42 meV/atom

***

[13]
Hf2ScPa: relaxed, PBE.

Geometry as extended XYZ:
```
4
Lattice="-0.869 -1.883 -2.443 -0.105 -3.179 0.386 -10.468 -0.980 2.378" Properties=species:S:1:pos:R:3 pbc="T T T"
Pa 0.000 0.000 0.000
Hf -2.874 -1.510 0.084
Hf -8.568 -4.533 0.237
Sc -5.721 -3.021 0.161
```

Properties
Volume ... 94.4 Å³/cell
Relative energy among the computed polymorphs ... 53 meV per atom
ΔE_f ... 104 meV/atom

***

[14]
HfScPa: relaxed, PBE.

Geometry as extended XYZ:
```
3
Lattice="-0.660 -3.013 -0.512 4.118 -0.392 -3.001 0.390 -0.936 5.009" Properties=species:S:1:pos:R:3 pbc="T T T"
Pa 1.523 -1.256 2.254
Sc 2.435 -2.582 -0.672
Hf -0.110 -0.503 -0.085
```

Properties
Volume ... 70.7 Å³/cell
Relative energy among the computed polymorphs ... 98 meV per atom
ΔE_f ... 140 meV/atom

***

[15]
HfScPa: relaxed, PBE.

Geometry as extended XYZ:
```
6
Lattice="4.303 -0.831 0.329 0.835 4.302 0.329 0.750 0.506 7.705" Properties=species:S:1:pos:R:3 pbc="T T T"
Pa 4.825 3.260 5.636
Pa 1.063 0.718 2.726
Hf 3.595 2.429 2.829
Hf 2.293 1.549 5.534
Sc 1.705 3.015 0.329
Sc 3.433 0.456 0.329
```

Properties
Volume ... 146.1 Å³/cell
Relative energy among the computed polymorphs ... 256 meV per atom
ΔE_f ... 298 meV/atom

***

[16]
Hf2ScPa: relaxed, PBE.

Geometry as extended XYZ:
```
4
Lattice="-1.130 -3.781 -2.061 3.642 0.410 -2.749 2.524 -2.384 2.989" Properties=species:S:1:pos:R:3 pbc="T T T"
Sc -0.565 -1.891 -1.030
Hf 1.821 0.205 -1.374
Hf 1.262 -1.192 1.495
Pa 2.519 -2.877 -0.910
```

Properties
Volume ... 93.5 Å³/cell
Relative energy among the computed polymorphs ... 72 meV per atom
ΔE_f ... 124 meV/atom

***

[17]
Hf2Sc4Pa: relaxed, PBE.

Geometry as extended XYZ:
```
7
Lattice="3.256 0.000 0.000 -1.628 2.804 0.299 0.000 1.830 18.321" Properties=species:S:1:pos:R:3 pbc="T T T"
Sc 0.000 3.062 6.748
Sc 1.628 1.571 11.873
Sc 0.000 3.843 17.168
Sc 1.628 0.790 1.452
Hf 1.628 3.173 14.601
Hf 0.000 1.461 4.020
Pa 0.000 0.915 9.161
```

Properties
Volume ... 165.5 Å³/cell
ΔE_f ... 21 meV/atom

***

[18]
HfSc6Pa: relaxed, PBE.

Geometry as extended XYZ:
```
8
Lattice="7.448 -0.630 2.803 -0.156 5.862 -0.059 2.232 -0.315 5.366" Properties=species:S:1:pos:R:3 pbc="T T T"
Hf 0.000 0.000 0.000
Sc 2.539 1.499 0.956
Sc 4.396 0.829 3.312
Sc 5.127 4.088 4.799
Sc 4.752 3.734 1.789
Sc 1.803 4.403 2.336
Sc 7.721 0.514 5.775
Pa -0.078 2.931 -0.029
```

Properties
Volume ... 197.2 Å³/cell
ΔE_f ... 150 meV/atom

***

[19]
Hf2ScPa: relaxed, PBE.

Geometry as extended XYZ:
```
4
Lattice="3.188 0.000 0.000 1.594 2.761 0.000 1.594 0.920 10.657" Properties=species:S:1:pos:R:3 pbc="T T T"
Hf 1.594 0.920 2.651
Hf 1.594 0.920 8.010
Pa 3.188 1.841 5.329
Sc 4.783 2.761 10.654
```

Properties
Volume ... 93.8 Å³/cell
Relative energy among the computed polymorphs ... 0 meV per atom
ΔE_f ... 52 meV/atom

***

[20]
HfScPa: relaxed, PBE.

Geometry as extended XYZ:
```
3
Lattice="-0.540 1.087 -2.874 -0.777 -2.872 -0.940 -6.346 2.195 3.717" Properties=species:S:1:pos:R:3 pbc="T T T"
Pa -7.019 0.291 -0.264
Hf -2.296 -0.588 -1.484
Sc -3.910 0.727 1.010
```

Properties
Volume ... 71.6 Å³/cell
Relative energy among the computed polymorphs ... 66 meV per atom
ΔE_f ... 108 meV/atom

***

[21]
HfSc14Pa: relaxed, PBE.

Geometry as extended XYZ:
```
16
Lattice="6.534 -0.873 0.000 -2.564 6.073 0.000 0.000 0.000 10.356" Properties=species:S:1:pos:R:3 pbc="T T T"
Sc 1.742 0.750 0.000
Sc 3.518 1.430 2.609
Sc 2.213 4.490 7.777
Sc -1.030 4.902 7.785
Sc 3.706 3.322 0.000
Sc 3.518 1.430 7.747
Sc 0.222 1.882 7.777
Sc 5.008 0.292 5.178
Sc 3.735 3.328 5.178
Sc -1.030 4.902 2.571
Sc 0.457 3.767 5.178
Sc 1.744 0.720 5.178
Sc 0.222 1.882 2.579
Sc 2.213 4.490 2.579
Hf 0.501 3.733 0.000
Pa 5.021 0.283 0.000
```

Properties
Volume ... 387.8 Å³/cell
ΔE_f ... 30 meV/atom

***

[22]
Hf2ScPa: relaxed, PBE.

Geometry as extended XYZ:
```
4
Lattice="-4.851 1.507 -0.092 -3.331 -2.343 -3.037 -3.616 -2.956 1.998" Properties=species:S:1:pos:R:3 pbc="T T T"
Sc -5.899 -1.896 -0.566
Pa 0.000 0.000 0.000
Hf -8.848 -2.844 -0.848
Hf -2.949 -0.948 -0.283
```

Properties
Volume ... 92.7 Å³/cell
Relative energy among the computed polymorphs ... 142 meV per atom
ΔE_f ... 194 meV/atom

***

[23]
Hf2ScPa: relaxed, PBE.

Geometry as extended XYZ:
```
4
Lattice="-1.341 2.692 2.280 -0.007 -2.441 2.878 6.210 1.793 1.535" Properties=species:S:1:pos:R:3 pbc="T T T"
Sc -0.674 0.125 2.579
Pa 2.431 1.022 3.347
Hf 4.513 1.303 1.116
Hf 1.698 0.490 0.420
```

Properties
Volume ... 94.6 Å³/cell
Relative energy among the computed polymorphs ... 106 meV per atom
ΔE_f ... 158 meV/atom

***

[24]
HfScPaSn: relaxed, PBE.

Geometry as extended XYZ:
```
4
Lattice="-2.249 -3.574 -2.766 -3.269 -3.181 2.162 -4.926 0.345 -1.047" Properties=species:S:1:pos:R:3 pbc="T T T"
Pa -7.833 -4.808 -1.238
Sc -5.222 -3.205 -0.825
Hf 0.000 0.000 0.000
Sn -2.611 -1.603 -0.413
```

Properties
Volume ... 91.0 Å³/cell
ΔE_f ... -68 meV/atom

***

[25]
HfScPaTa: relaxed, PBE.

Geometry as extended XYZ:
```
4
Lattice="-3.362 -1.507 -3.358 -0.389 -4.837 -1.139 -3.998 -2.592 1.466" Properties=species:S:1:pos:R:3 pbc="T T T"
Ta -5.812 -6.702 -2.274
Pa 0.000 0.000 0.000
Hf -3.874 -4.468 -1.516
Sc -1.937 -2.234 -0.758
```

Properties
Volume ... 87.6 Å³/cell
ΔE_f ... 179 meV/atom

***

[26]
HfScPaTc: relaxed, PBE.

Geometry as extended XYZ:
```
4
Lattice="-1.564 2.895 3.581 0.306 -1.471 4.626 3.198 2.089 3.010" Properties=species:S:1:pos:R:3 pbc="T T T"
Pa 0.970 1.757 5.608
Sc 0.000 0.000 0.000
Hf 0.485 0.878 2.804
Tc 1.455 2.635 8.412
```

Properties
Volume ... 81.3 Å³/cell
ΔE_f ... -33 meV/atom

***

[27]
HfScPaTi: relaxed, PBE.

Geometry as extended XYZ:
```
4
Lattice="-3.220 2.125 -3.176 -2.401 -2.800 -3.371 -4.903 -0.835 0.482" Properties=species:S:1:pos:R:3 pbc="T T T"
Sc 0.000 0.000 0.000
Ti -7.894 -1.132 -4.549
Pa -5.262 -0.755 -3.033
Hf -2.631 -0.377 -1.516
```

Properties
Volume ... 88.2 Å³/cell
ΔE_f ... 174 meV/atom

***

[28]
HfZr4Sc2Pa: relaxed, PBE.

Geometry as extended XYZ:
```
8
Lattice="-0.442 5.212 0.447 -2.603 -0.616 4.620 3.188 -0.407 7.900" Properties=species:S:1:pos:R:3 pbc="T T T"
Zr -1.259 2.046 5.735
Zr -0.409 4.952 3.517
Zr 0.551 -0.763 9.450
Zr 1.401 2.143 7.233
Sc 3.188 -0.407 7.900
Sc 1.373 2.403 4.174
Pa -1.522 2.298 2.533
Hf 0.292 -0.512 6.260
```

Properties
Volume ... 186.6 Å³/cell
ΔE_f ... 111 meV/atom